1.
Below is crystalline Sc2IrPd at its relaxed geometry, with properties calculated at the GGA-PBE level.

a = 4.6103 Å, b = 4.6103 Å, c = 4.6103 Å
α = 119.73°, β = 119.73°, γ = 90.47°
Closest atoms and distances in Å follow each position.
Sites, in units of the cell vectors:
Sc 0.2500 0.7500 0.5000  4 Ir 2.83, 4 Pd 2.83
Sc 0.7500 0.2500 0.5000  4 Ir 2.83, 4 Pd 2.83
Ir 0.0000 0.0000 0.0000  8 Sc 2.83
Pd 0.5000 0.5000 0.0000  8 Sc 2.83

* polymorph energy (0 for the lowest one): 0.000 eV/atom
* calculated total energy: -7.668 eV/atom
* spin magnetization: 0.0 μB/f.u.

=====

2.
Below is crystalline ScIrPd2 at its relaxed geometry, with properties calculated at the GGA-PBE level.

a = 4.4941 Å, b = 4.4941 Å, c = 4.4941 Å
α = 60.00°, β = 60.00°, γ = 60.00°
Closest atoms and distances in Å follow each position.
Sites, in units of the cell vectors:
Sc 0.0000 0.0000 0.0000  4 Pd 2.75, 4 Ir 2.75
Ir 0.2500 0.2500 0.2500  4 Sc 2.75, 4 Pd 2.75
Pd 0.5000 0.5000 0.5000  4 Pd 2.75, 4 Ir 2.75
Pd 0.7500 0.7500 0.7500  4 Sc 2.75, 4 Pd 2.75

* calculated total energy: -6.838 eV/atom
* spin magnetization: 0.0 μB/f.u.

=====

3.
Below is crystalline Sc3Sn3Ir2Pd at its relaxed geometry, with properties calculated at the GGA-PBE level.

a = 7.6472 Å, b = 7.6472 Å, c = 3.3941 Å
α = 90.00°, β = 90.00°, γ = 120.00°
Closest atoms and distances in Å follow each position.
Sites, in units of the cell vectors:
Sc 0.0000 0.3946 0.0000  4 Ir 2.90, 6 Sn 3.01-3.18, 1 Pd 3.02
Sc 0.3946 0.0000 0.0000  4 Ir 2.90, 6 Sn 3.01-3.18, 1 Pd 3.02
Sc 0.6054 0.6054 0.0000  4 Ir 2.90, 6 Sn 3.01-3.18, 1 Pd 3.02
Sn 0.0000 0.7201 0.5000  2 Pd 2.73, 2 Ir 2.78, 2 Sc 3.01
Sn 0.2799 0.2799 0.5000  2 Pd 2.73, 2 Ir 2.78, 2 Sc 3.01
Sn 0.7201 0.0000 0.5000  2 Pd 2.73, 2 Ir 2.78, 2 Sc 3.01
Ir 0.3333 0.6667 0.5000  3 Sn 2.78, 6 Sc 2.90
Ir 0.6667 0.3333 0.5000  3 Sn 2.78, 6 Sc 2.90
Pd 0.0000 0.0000 0.0000  6 Sn 2.73, 3 Sc 3.02

* calculated total energy: -6.817 eV/atom
* spin magnetization: 0.0 μB/f.u.

=====

4.
Below is crystalline Ir2PdSe6 at its relaxed geometry, with properties calculated at the GGA-PBE level.

a = 6.3589 Å, b = 6.3589 Å, c = 10.2744 Å
α = 110.83°, β = 110.83°, γ = 31.98°
Closest atoms and distances in Å follow each position.
Sites, in units of the cell vectors:
Ir 0.1938 0.1938 0.3183  7 Se 2.52-2.63
Ir 0.8062 0.8062 0.6817  7 Se 2.52-2.63
Pd 0.5000 0.5000 0.0000  4 Se 2.46-2.47
Se 0.1591 0.1591 0.5477  3 Ir 2.52-2.54
Se 0.2868 0.2868 0.8635  1 Pd 2.46, 2 Ir 2.63
Se 0.4716 0.4716 0.7493  1 Pd 2.47, 2 Ir 2.57
Se 0.5284 0.5284 0.2507  1 Pd 2.47, 2 Ir 2.57
Se 0.7132 0.7132 0.1365  1 Pd 2.46, 2 Ir 2.63
Se 0.8409 0.8409 0.4523  3 Ir 2.52-2.54

* calculated total energy: -4.955 eV/atom
* spin magnetization: 0.0 μB/f.u.

=====

5.
Below is crystalline SiIrPd2 at its relaxed geometry, with properties calculated at the GGA-PBE level.

a = 4.3266 Å, b = 4.3266 Å, c = 4.3266 Å
α = 60.00°, β = 60.00°, γ = 60.00°
Closest atoms and distances in Å follow each position.
Sites, in units of the cell vectors:
Si 0.0000 0.0000 0.0000  4 Pd 2.65, 4 Ir 2.65
Ir 0.2500 0.2500 0.2500  4 Pd 2.65, 4 Si 2.65
Pd 0.5000 0.5000 0.5000  4 Pd 2.65, 4 Ir 2.65
Pd 0.7500 0.7500 0.7500  4 Si 2.65, 4 Pd 2.65

* calculated total energy: -6.368 eV/atom
* spin magnetization: 0.0 μB/f.u.

=====

6.
Below is crystalline SiIr2Pd at its relaxed geometry, with properties calculated at the GGA-PBE level.

a = 4.3486 Å, b = 4.3486 Å, c = 4.3486 Å
α = 60.00°, β = 60.00°, γ = 60.00°
Closest atoms and distances in Å follow each position.
Sites, in units of the cell vectors:
Si 0.0000 0.0000 0.0000  4 Ir 2.66, 4 Pd 2.66
Ir 0.5000 0.5000 0.5000  4 Ir 2.66, 4 Pd 2.66
Ir 0.7500 0.7500 0.7500  4 Ir 2.66, 4 Si 2.66
Pd 0.2500 0.2500 0.2500  4 Ir 2.66, 4 Si 2.66

* calculated total energy: -6.979 eV/atom
* spin magnetization: 0.5 μB/f.u.